Record 1
Below is a relaxed structure of CdOs2, with properties calculated at the GGA-PBE level.

Lattice parameters (Å, degrees): 5.4710 5.4710 5.4710 150.37 140.93 49.79
Closest atoms and distances in Å follow each position.
Fractional positions:
Os  0.6929  0.6929  0.0000  6 Os 2.57-2.80
Os  0.3071  0.3071  0.0000  6 Os 2.57-2.80
Cd  0.0000  0.0000  0.0000  2 Cd 2.80, 10 Os 2.99-3.05

The density of states at the Fermi level is 0.79 states/eV per atom. The formation energy from the elements is 0.541 eV per atom.

Record 2
Below is a relaxed structure of Cd3Os, with properties calculated at the GGA-PBE level.

Lattice parameters (Å, degrees): 2.8565 2.8565 10.9131 90.00 90.00 118.21
Closest atoms and distances in Å follow each position.
Fractional positions:
Cd  0.5000  0.5000  0.7500  6 Cd 2.86-2.93
Cd  0.0000  0.0000  0.0252  6 Cd 2.86-2.93, 2 Os 2.86
Cd  0.0000  0.0000  0.4748  6 Cd 2.86-2.93, 2 Os 2.86
Os  0.5000  0.5000  0.2500  6 Os 2.86-2.93, 4 Cd 2.86

The density of states at the Fermi level is 0.58 states/eV per atom. The formation energy from the elements is 0.456 eV per atom.

Record 3
Below is a relaxed structure of CdOs2, with properties calculated at the GGA-PBE level.

Lattice parameters (Å, degrees): 6.2533 6.2533 6.2533 90.00 90.00 90.00
Closest atoms and distances in Å follow each position.
Fractional positions:
Cd  0.5000  0.5000  0.0000  6 Os 2.64
Cd  0.0000  0.5000  0.5000  6 Os 2.64
Cd  0.0000  0.0000  0.0000  6 Os 2.64
Cd  0.5000  0.0000  0.5000  6 Os 2.64
Os  0.3959  0.3959  0.3959  1 Os 2.26
Os  0.8959  0.3959  0.1041  1 Os 2.26
Os  0.3959  0.1041  0.8959  1 Os 2.26
Os  0.1041  0.6041  0.8959  1 Os 2.26
Os  0.1041  0.8959  0.3959  1 Os 2.26
Os  0.6041  0.8959  0.1041  1 Os 2.26
Os  0.8959  0.1041  0.6041  1 Os 2.26
Os  0.6041  0.6041  0.6041  1 Os 2.26

The density of states at the Fermi level is 1.30 states/eV per atom. The formation energy from the elements is 2.015 eV per atom.

Record 4
Below is a relaxed structure of Cd2Os, with properties calculated at the GGA-PBE level.

Lattice parameters (Å, degrees): 5.7559 4.3867 9.3745 90.00 90.00 90.00
Closest atoms and distances in Å follow each position.
Fractional positions:
Os  0.0933  0.2500  0.9986  2 Os 2.44
Os  0.5933  0.2500  0.5014  2 Os 2.44
Os  0.4067  0.7500  0.4986  2 Os 2.44
Os  0.9067  0.7500  0.0014  2 Os 2.44
Cd  0.9162  0.7500  0.4081  4 Os 2.95-3.05, 7 Cd 2.95-3.16
Cd  0.4162  0.7500  0.0919  4 Os 2.95-3.05, 7 Cd 2.95-3.16
Cd  0.7447  0.7500  0.7152  4 Os 2.81-3.10, 5 Cd 2.95-3.04
Cd  0.5838  0.2500  0.9081  4 Os 2.95-3.05, 7 Cd 2.95-3.16
Cd  0.2447  0.7500  0.7848  4 Os 2.81-3.10, 5 Cd 2.95-3.04
Cd  0.2553  0.2500  0.2848  4 Os 2.81-3.10, 5 Cd 2.95-3.04
Cd  0.7553  0.2500  0.2152  4 Os 2.81-3.10, 5 Cd 2.95-3.04
Cd  0.0838  0.2500  0.5919  4 Os 2.95-3.05, 7 Cd 2.95-3.16

The density of states at the Fermi level is 0.15 states/eV per atom. The formation energy from the elements is 0.384 eV per atom.

Record 5
Below is a relaxed structure of CdOs2, with properties calculated at the GGA-PBE level.

Lattice parameters (Å, degrees): 6.6850 6.6850 4.3592 90.00 90.00 120.00
Closest atoms and distances in Å follow each position.
Fractional positions:
Os  0.0000  0.2251  0.0000  4 Os 2.56-2.61, 4 Cd 2.65-2.66
Os  0.7749  0.7749  0.0000  4 Os 2.56-2.61, 4 Cd 2.65-2.66
Os  0.2251  0.0000  0.0000  4 Os 2.56-2.61, 4 Cd 2.65-2.66
Os  0.4263  0.0000  0.5000  2 Os 2.56, 1 Cd 2.85
Os  0.5737  0.5737  0.5000  2 Os 2.56, 1 Cd 2.85
Os  0.0000  0.4263  0.5000  2 Os 2.56, 1 Cd 2.85
Cd  0.3333  0.6667  0.0000  9 Os 2.66-2.95
Cd  0.6667  0.3333  0.0000  9 Os 2.66-2.95
Cd  0.0000  0.0000  0.5000  9 Os 2.65-2.85

The density of states at the Fermi level is 1.31 states/eV per atom. The formation energy from the elements is 1.326 eV per atom.

Record 6
Below is a relaxed structure of Cd3Os4, with properties calculated at the GGA-PBE level.

Lattice parameters (Å, degrees): 14.6613 14.6613 14.6613 168.82 168.82 15.83
Closest atoms and distances in Å follow each position.
Fractional positions:
Os  0.5763  0.5763  0.0000  8 Os 2.58-2.86
Os  0.1317  0.1317  0.0000  8 Os 2.58-2.86
Os  0.8683  0.8683  0.0000  8 Os 2.58-2.86
Os  0.4237  0.4237  0.0000  8 Os 2.58-2.86
Cd  0.7064  0.7064  0.0000  4 Cd 2.86, 4 Os 2.96
Cd  0.0000  0.0000  0.0000  4 Cd 2.86, 8 Os 3.00
Cd  0.2936  0.2936  0.0000  4 Cd 2.86, 4 Os 2.96

The density of states at the Fermi level is 0.55 states/eV per atom. The formation energy from the elements is 0.277 eV per atom.